Here is an optimized crystal structure of TaAlTc2 from the Alexandria database. Energies are from PBE-GGA.

Properties
size of the total moment	0.00	μB/f.u.
DFT total energy	-9.29	eV/atom
energy relative to the elements	-0.84	eV/f.u.
theoretical density	10.8	Mg/m³

a = 2.7610 Å, b = 4.2708 Å, c = 5.3240 Å
α = 90.00°, β = 99.25°, γ = 90.00°
Element x y z (fractional)
Ta  0.0000  0.0000  0.0000
Al  0.5000  0.0000  0.5000
Tc  0.2111  0.5000  0.7387
Tc  0.7889  0.5000  0.2613

***

Here is an optimized crystal structure of TaAlTc from the Alexandria database. Energies are from PBE-GGA.

Properties
E above lowest polymorph	1.55	eV/f.u.
size of the total moment	0.00	μB/f.u.
DFT total energy	-8.48	eV/atom
energy relative to the elements	0.52	eV/f.u.
theoretical density	9.1	Mg/m³

a = 4.2968 Å, b = 4.2968 Å, c = 4.2968 Å
α = 60.00°, β = 60.00°, γ = 60.00°
Element x y z (fractional)
Ta  0.0000  0.0000  0.0000
Al  0.5000  0.5000  0.5000
Tc  0.2500  0.2500  0.2500

***

Here is an optimized crystal structure of TaAlTc from the Alexandria database. Energies are from PBE-GGA.

Properties
E above lowest polymorph	0.96	eV/f.u.
size of the total moment	0.00	μB/f.u.
DFT total energy	-8.68	eV/atom
energy relative to the elements	-0.07	eV/f.u.
theoretical density	9.7	Mg/m³

a = 9.0659 Å, b = 4.4476 Å, c = 5.1728 Å
α = 90.00°, β = 90.00°, γ = 90.00°
Element x y z (fractional)
Ta  0.1049  0.2500  0.0417
Ta  0.3951  0.7500  0.5417
Ta  0.6049  0.2500  0.4583
Ta  0.8951  0.7500  0.9583
Al  0.2039  0.2500  0.5379
Al  0.2961  0.7500  0.0379
Al  0.7039  0.2500  0.9621
Al  0.7961  0.7500  0.4621
Tc  0.0779  0.7500  0.3496
Tc  0.4221  0.2500  0.8496
Tc  0.5779  0.7500  0.1504
Tc  0.9221  0.2500  0.6504

***

The DOS at the Fermi energy results, record by record, are as follows: 0.654 1.661 0.619 states/eV per atom.